# 1
Crystalline ZnCl at its relaxed geometry. Source: Alexandria via LeMat-Bulk, functional PBE.

Summary:
VASP energy   -2.287 eV per atom
Total magnetization   0.00 μB/cell
DOS(E_F)   0.00 states/eV per atom
Formation energy without anion corrections   -1.45 eV/f.u.

a = 8.6442 Å, b = 8.6442 Å, c = 3.5696 Å
α = 90.00°, β = 90.00°, γ = 90.00°
With the nearest neighbours (Å) after each atom.
Sites, in units of the cell vectors:
Zn1 0.0957 0.0957 0.0000  1 Zn 2.34, 2 Cl 2.36
Zn2 0.4043 0.5957 0.5000  1 Zn 2.34, 2 Cl 2.36
Zn3 0.5957 0.4043 0.5000  1 Zn 2.34, 2 Cl 2.36
Zn4 0.9043 0.9043 0.0000  1 Zn 2.34, 2 Cl 2.36
Cl1 0.2214 0.2214 0.5000  2 Zn 2.36
Cl2 0.2786 0.7214 0.0000  2 Zn 2.36
Cl3 0.7214 0.2786 0.0000  2 Zn 2.36
Cl4 0.7786 0.7786 0.5000  2 Zn 2.36



# 2
Crystalline Zn3Cl at its relaxed geometry. Source: Alexandria via LeMat-Bulk, functional PBE.

Summary:
VASP energy   -0.757 eV per atom
Total magnetization   0.00 μB/cell
DOS(E_F)   1.47 states/eV per atom
Distance to the lowest polymorph of the same formula   0.816 eV per atom
Formation energy without anion corrections   2.64 eV/f.u.

a = 5.8249 Å, b = 5.8249 Å, c = 5.8249 Å
α = 90.00°, β = 90.00°, γ = 90.00°
With the nearest neighbours (Å) after each atom.
Sites, in units of the cell vectors:
Zn1 0.0000 0.0000 0.5000  2 Cl 2.91
Zn2 0.0000 0.5000 0.0000  2 Cl 2.91
Zn3 0.5000 0.0000 0.0000  2 Cl 2.91
Cl1 0.0000 0.0000 0.0000  6 Zn 2.91



# 3
Crystalline Zn2Cl at its relaxed geometry. Source: Alexandria via LeMat-Bulk, functional PBE.

Summary:
VASP energy   -1.594 eV per atom
Total magnetization   0.00 μB/cell
DOS(E_F)   0.23 states/eV per atom
Distance to the lowest polymorph of the same formula   0.164 eV per atom
Formation energy without anion corrections   -0.39 eV/f.u.

a = 3.2275 Å, b = 3.2275 Å, c = 10.6751 Å
α = 90.00°, β = 90.00°, γ = 90.00°
With the nearest neighbours (Å) after each atom.
Sites, in units of the cell vectors:
Zn1 0.0000 0.0000 0.1848  4 Zn 2.67
Zn2 0.0000 0.0000 0.8152  4 Zn 2.67
Zn3 0.5000 0.5000 0.3152  4 Zn 2.67
Zn4 0.5000 0.5000 0.6848  4 Zn 2.67
Cl1 0.0000 0.0000 0.5000  10 Zn 3.02-3.36, 4 Cl 3.23
Cl2 0.5000 0.5000 0.0000  10 Zn 3.02-3.36, 4 Cl 3.23



# 4
Crystalline ZnCl at its relaxed geometry. Source: Alexandria via LeMat-Bulk, functional PBE.

Summary:
VASP energy   -2.162 eV per atom
Total magnetization   0.00 μB/cell
DOS(E_F)   0.24 states/eV per atom
Formation energy without anion corrections   -1.20 eV/f.u.

a = 3.5981 Å, b = 14.3754 Å, c = 6.1020 Å
α = 90.00°, β = 90.00°, γ = 90.00°
With the nearest neighbours (Å) after each atom.
Sites, in units of the cell vectors:
Zn1 0.0000 0.0000 0.0000  2 Cl 2.69, 4 Zn 2.81
Zn2 0.0000 0.4147 0.7911  2 Cl 2.35, 1 Zn 2.45
Zn3 0.0000 0.5853 0.7911  2 Cl 2.35, 1 Zn 2.45
Zn4 0.5000 0.0853 0.2911  2 Cl 2.35, 1 Zn 2.45
Zn5 0.5000 0.5000 0.5000  2 Cl 2.69, 4 Zn 2.81
Zn6 0.5000 0.9147 0.2911  2 Cl 2.35, 1 Zn 2.45
Cl1 0.0000 0.1897 0.3156  2 Zn 2.35
Cl2 0.0000 0.5000 0.1728  4 Zn 2.63-2.69
Cl3 0.0000 0.8103 0.3156  2 Zn 2.35
Cl4 0.5000 0.0000 0.6728  4 Zn 2.63-2.69
Cl5 0.5000 0.3103 0.8156  2 Zn 2.35
Cl6 0.5000 0.6897 0.8156  2 Zn 2.35



# 5
Crystalline ZnCl at its relaxed geometry. Source: Alexandria via LeMat-Bulk, functional PBE.

Summary:
VASP energy   -2.282 eV per atom
Total magnetization   0.00 μB/cell
DOS(E_F)   0.00 states/eV per atom
Formation energy without anion corrections   -1.44 eV/f.u.

a = 5.7446 Å, b = 6.1729 Å, c = 6.6156 Å
α = 92.40°, β = 92.87°, γ = 112.90°
With the nearest neighbours (Å) after each atom.
Sites, in units of the cell vectors:
Zn1 0.0000 0.0000 0.0000  2 Cl 2.29-2.55, 1 Zn 2.42
Zn2 0.0858 0.9260 0.6160  2 Cl 2.35-2.49, 1 Zn 2.39
Zn3 0.2025 0.7230 0.9758  3 Cl 2.36-2.46, 1 Zn 2.42
Zn4 0.6701 0.9036 0.5222  3 Cl 2.34-2.58, 1 Zn 2.39
Cl1 0.2550 0.6113 0.6247  3 Zn 2.46-2.51
Cl2 0.4846 0.1813 0.5240  2 Zn 2.34-2.35
Cl3 0.5843 0.7498 0.1465  3 Zn 2.36-2.58
Cl4 0.9362 0.3390 0.0669  2 Zn 2.29-2.39



# 6
Crystalline ZnCl at its relaxed geometry. Source: Alexandria via LeMat-Bulk, functional PBE.

Summary:
VASP energy   -1.812 eV per atom
Total magnetization   0.00 μB/cell
DOS(E_F)   0.80 states/eV per atom
Formation energy without anion corrections   -0.50 eV/f.u.

a = 4.5409 Å, b = 4.5409 Å, c = 5.0833 Å
α = 90.00°, β = 90.00°, γ = 120.00°
With the nearest neighbours (Å) after each atom.
Sites, in units of the cell vectors:
Zn1 0.0000 0.0000 0.0000  2 Zn 2.54
Zn2 0.0000 0.0000 0.5000  2 Zn 2.54
Cl1 0.3333 0.6667 0.2500  6 Zn 2.91
Cl2 0.6667 0.3333 0.7500  6 Zn 2.91



# 7
Crystalline Zn3Cl at its relaxed geometry. Source: Alexandria via LeMat-Bulk, functional PBE.

Summary:
VASP energy   -1.358 eV per atom
Total magnetization   0.00 μB/cell
DOS(E_F)   0.27 states/eV per atom
Distance to the lowest polymorph of the same formula   0.215 eV per atom
Formation energy without anion corrections   0.24 eV/f.u.

a = 3.7924 Å, b = 3.7924 Å, c = 11.0475 Å
α = 90.00°, β = 90.00°, γ = 90.00°
With the nearest neighbours (Å) after each atom.
Sites, in units of the cell vectors:
Zn1 0.0000 0.0000 0.0000  4 Cl 2.68
Zn2 0.0000 0.5000 0.2500  4 Zn 2.68
Zn3 0.0000 0.5000 0.7500  4 Zn 2.68
Zn4 0.5000 0.0000 0.2500  4 Zn 2.68
Zn5 0.5000 0.0000 0.7500  4 Zn 2.68
Zn6 0.5000 0.5000 0.5000  4 Cl 2.68
Cl1 0.0000 0.0000 0.5000  4 Zn 2.68
Cl2 0.5000 0.5000 0.0000  4 Zn 2.68



# 8
Crystalline Zn2Cl at its relaxed geometry. Source: Alexandria via LeMat-Bulk, functional PBE.

Summary:
VASP energy   -1.709 eV per atom
Total magnetization   0.00 μB/cell
DOS(E_F)   0.09 states/eV per atom
Distance to the lowest polymorph of the same formula   0.048 eV per atom
Formation energy without anion corrections   -0.73 eV/f.u.

a = 3.6135 Å, b = 3.6135 Å, c = 10.5855 Å
α = 90.00°, β = 90.00°, γ = 120.00°
With the nearest neighbours (Å) after each atom.
Sites, in units of the cell vectors:
Zn1 0.3333 0.6667 0.0705  3 Zn 2.57, 3 Cl 2.82
Zn2 0.3333 0.6667 0.4295  3 Zn 2.57, 3 Cl 2.82
Zn3 0.6667 0.3333 0.5705  3 Zn 2.57, 3 Cl 2.82
Zn4 0.6667 0.3333 0.9295  3 Zn 2.57, 3 Cl 2.82
Cl1 0.0000 0.0000 0.2500  6 Zn 2.82
Cl2 0.0000 0.0000 0.7500  6 Zn 2.82



# 9
Crystalline ZnCl at its relaxed geometry. Source: Alexandria via LeMat-Bulk, functional PBE.

Summary:
VASP energy   -1.767 eV per atom
Total magnetization   0.00 μB/cell
DOS(E_F)   0.53 states/eV per atom
Formation energy without anion corrections   -0.41 eV/f.u.

a = 3.7357 Å, b = 3.7357 Å, c = 7.1457 Å
α = 90.00°, β = 90.00°, γ = 120.00°
With the nearest neighbours (Å) after each atom.
Sites, in units of the cell vectors:
Zn1 0.3333 0.6667 0.2500  6 Cl 2.80
Zn2 0.6667 0.3333 0.7500  6 Cl 2.80
Cl1 0.0000 0.0000 0.0000  6 Zn 2.80
Cl2 0.0000 0.0000 0.5000  6 Zn 2.80



# 10
Crystalline ZnCl at its relaxed geometry. Source: Alexandria via LeMat-Bulk, functional PBE.

Summary:
VASP energy   -2.140 eV per atom
Total magnetization   0.00 μB/cell
DOS(E_F)   0.14 states/eV per atom
Formation energy without anion corrections   -1.16 eV/f.u.

a = 12.0189 Å, b = 12.0189 Å, c = 3.6058 Å
α = 90.00°, β = 90.00°, γ = 90.00°
With the nearest neighbours (Å) after each atom.
Sites, in units of the cell vectors:
Zn1 0.0660 0.1448 0.0000  2 Zn 2.70
Zn2 0.1448 0.9340 0.0000  2 Zn 2.70
Zn3 0.2511 0.5707 0.5000  4 Cl 2.29-2.30
Zn4 0.4293 0.2511 0.5000  4 Cl 2.29-2.30
Zn5 0.5707 0.7489 0.5000  4 Cl 2.29-2.30
Zn6 0.7489 0.4293 0.5000  4 Cl 2.29-2.30
Zn7 0.8552 0.0660 0.0000  2 Zn 2.70
Zn8 0.9340 0.8552 0.0000  2 Zn 2.70
Cl1 0.1372 0.6024 0.0000  2 Zn 2.30
Cl2 0.2930 0.3846 0.5000  2 Zn 2.29
Cl3 0.3846 0.7070 0.5000  2 Zn 2.29
Cl4 0.3976 0.1372 0.0000  2 Zn 2.30
Cl5 0.6024 0.8628 0.0000  2 Zn 2.30
Cl6 0.6155 0.2930 0.5000  2 Zn 2.29
Cl7 0.7070 0.6155 0.5000  2 Zn 2.29
Cl8 0.8628 0.3976 0.0000  2 Zn 2.30



# 11
Crystalline ZnCl at its relaxed geometry. Source: Alexandria via LeMat-Bulk, functional PBE.

Summary:
VASP energy   -2.229 eV per atom
Total magnetization   0.00 μB/cell
DOS(E_F)   0.08 states/eV per atom
Formation energy without anion corrections   -1.34 eV/f.u.

a = 3.4789 Å, b = 3.4789 Å, c = 25.7178 Å
α = 90.00°, β = 90.00°, γ = 120.00°
With the nearest neighbours (Å) after each atom.
Sites, in units of the cell vectors:
Zn1 0.0000 0.0000 0.1284  3 Cl 2.47
Zn2 0.0000 0.0000 0.8716  3 Cl 2.47
Zn3 0.3333 0.6667 0.2034  3 Cl 2.47
Zn4 0.3333 0.6667 0.5375  3 Cl 2.47
Zn5 0.6667 0.3333 0.4625  3 Cl 2.47
Zn6 0.6667 0.3333 0.7966  3 Cl 2.47
Cl1 0.0000 0.0000 0.4064  3 Zn 2.47
Cl2 0.0000 0.0000 0.5936  3 Zn 2.47
Cl3 0.3333 0.6667 0.7406  3 Zn 2.47
Cl4 0.3333 0.6667 0.9276  3 Zn 2.47
Cl5 0.6667 0.3333 0.0724  3 Zn 2.47
Cl6 0.6667 0.3333 0.2594  3 Zn 2.47



# 12
Crystalline Zn2Cl at its relaxed geometry. Source: Alexandria via LeMat-Bulk, functional PBE.

Summary:
VASP energy   -1.398 eV per atom
Total magnetization   0.00 μB/cell
DOS(E_F)   0.57 states/eV per atom
Distance to the lowest polymorph of the same formula   0.359 eV per atom
Formation energy without anion corrections   0.20 eV/f.u.

a = 6.7187 Å, b = 6.7187 Å, c = 6.7187 Å
α = 90.00°, β = 90.00°, γ = 90.00°
With the nearest neighbours (Å) after each atom.
Sites, in units of the cell vectors:
Zn1 0.1053 0.1053 0.1053  1 Zn 2.45
Zn2 0.1053 0.3947 0.6053  1 Zn 2.45
Zn3 0.3947 0.6053 0.1053  1 Zn 2.45
Zn4 0.3947 0.8947 0.6053  1 Zn 2.45
Zn5 0.6053 0.1053 0.3947  1 Zn 2.45
Zn6 0.6053 0.3947 0.8947  1 Zn 2.45
Zn7 0.8947 0.6053 0.3947  1 Zn 2.45
Zn8 0.8947 0.8947 0.8947  1 Zn 2.45
Cl1 0.0000 0.0000 0.5000  6 Zn 2.83
Cl2 0.0000 0.5000 0.0000  6 Zn 2.83
Cl3 0.5000 0.0000 0.0000  6 Zn 2.83
Cl4 0.5000 0.5000 0.5000  6 Zn 2.83



# 13
Crystalline ZnCl at its relaxed geometry. Source: Alexandria via LeMat-Bulk, functional PBE.

Summary:
VASP energy   -1.671 eV per atom
Total magnetization   0.00 μB/cell
DOS(E_F)   0.87 states/eV per atom
Formation energy without anion corrections   -0.22 eV/f.u.

a = 4.5829 Å, b = 4.5829 Å, c = 4.5808 Å
α = 90.00°, β = 90.00°, γ = 90.00°
With the nearest neighbours (Å) after each atom.
Sites, in units of the cell vectors:
Zn1 0.2500 0.2500 0.2076  4 Cl 2.65
Zn2 0.7500 0.7500 0.7924  4 Cl 2.65
Cl1 0.2500 0.7500 0.5000  4 Zn 2.65
Cl2 0.7500 0.2500 0.5000  4 Zn 2.65